Material: KNa9Sb2
Method: DFT, PBE
State: relaxed

Lattice parameters (Å, degrees): 6.9711 6.9711 28.7929 90.00 90.00 120.00
Space group R-3m (No. 166, hexagonal axes)
Inequivalent atoms, fractional coordinates:
K 0.0000 0.0000 0.0000
Na 0.0000 0.0000 0.3406
Na 0.0000 0.0000 0.5000
Na 0.0378 0.5189 0.8966
Sb 0.0000 0.0000 0.1286

Calculated values
calculated total energy: -1.80 eV per atom
E_form (uncorrected): -0.034 eV per atom
ρ: 2.0 g/cm3